No. 1
The following is a DFT calculation (PBE-GGA) of PrSn6Pd6 after structural relaxation.

Results
The space group is No. 71. The size of the total moment comes out at 0.000 μB/atom. The calculation puts the formation energy at -7.7 eV/f.u.

a b c (Å): 5.801 7.318 7.318
angles (deg): 75.83 66.65 66.65
Positions (direct):
Sn 0.663 0.337 0.337
Pd 0.500 0.250 0.750
Sn 0.330 0.170 0.170
Pd 0.500 0.500 0.000
Pd 0.000 0.500 0.000
Sn 0.337 0.663 0.663
Sn 0.000 0.342 0.658
Pd 0.500 0.750 0.250
Pd 0.500 0.000 0.500
Sn 0.000 0.658 0.342
Pr 0.000 0.000 0.000
Pd 0.000 0.000 0.500
Sn 0.670 0.830 0.830

No. 2
The following is a DFT calculation (PBE-GGA) of ScS3I after structural relaxation.

Results
The space group is No. 221. The size of the total moment comes out at 0.109 μB/atom. As for the formation energy without anion corrections: 2.31 eV per formula unit.

a b c (Å): 5.056 5.056 5.056
angles (deg): 90.00 90.00 90.00
Positions (direct):
Sc 0.500 0.500 0.500
I 0.000 0.000 0.000
S 0.000 0.000 0.500
S 0.000 0.500 0.000
S 0.500 0.000 0.000

No. 3
The following is a DFT calculation (PBE-GGA) of KAlI2 after structural relaxation.

Results
The space group is No. 225. The size of the total moment comes out at 0.000 μB/atom. As for the formation energy without anion corrections: -2.46 eV per formula unit.

a b c (Å): 5.922 5.922 5.922
angles (deg): 60.00 60.00 60.00
Positions (direct):
K 0.500 0.500 0.500
Al 0.000 0.000 0.000
I 0.750 0.750 0.750
I 0.250 0.250 0.250

No. 4
The following is a DFT calculation (PBE-GGA) of AsP2Ru after structural relaxation.

Results
The space group is No. 38. The size of the total moment comes out at 0.000 μB/atom. The calculation puts the formation energy at -0.1 eV/f.u.

a b c (Å): 4.237 4.152 4.153
angles (deg): 64.91 90.00 90.00
Positions (direct):
P 0.500 0.287 0.287
Ru 0.000 0.461 0.461
As 0.500 0.660 0.660
P 0.000 0.093 0.093

No. 5
The following is a DFT calculation (PBE-GGA) of PrH8Ru2 after structural relaxation.

Results
The space group is No. 12. The size of the total moment comes out at 0.000 μB/atom. As for the total energy: -4.75 eV/atom.

a b c (Å): 3.591 5.167 5.167
angles (deg): 117.31 90.66 90.66
Positions (direct):
H 0.242 0.559 0.559
H 0.010 0.326 0.026
H 0.990 0.674 0.974
Pr 0.500 0.000 0.000
H 0.500 0.294 0.706
Ru 0.000 0.328 0.672
H 0.990 0.974 0.674
H 0.758 0.441 0.441
Ru 0.000 0.672 0.328
H 0.500 0.706 0.294
H 0.010 0.026 0.326

No. 6
The following is a DFT calculation (PBE-GGA) of ErBe3Au10 after structural relaxation.

Results
The space group is No. 225. The size of the total moment comes out at 0.000 μB/atom. The calculation puts the formation energy at -3.8 eV/f.u.

a b c (Å): 8.764 8.764 8.764
angles (deg): 60.00 60.00 60.00
Positions (direct):
Be 0.264 0.264 0.736
Au 0.000 0.339 0.000
Au 0.661 0.339 0.000
Be 0.736 0.736 0.264
Au 0.385 0.844 0.385
Au 0.156 0.615 0.615
Er 0.250 0.250 0.250
Au 0.615 0.615 0.156
Au 0.000 0.000 0.661
Be 0.736 0.264 0.736
Au 0.000 0.661 0.000
Au 0.661 0.000 0.000
Be 0.736 0.264 0.264
Au 0.615 0.615 0.615
Au 0.844 0.385 0.385
Au 0.385 0.385 0.385
Er 0.750 0.750 0.750
Au 0.615 0.156 0.615
Au 0.339 0.000 0.000
Be 0.264 0.736 0.264
Au 0.661 0.000 0.339
Be 0.264 0.736 0.736
Au 0.000 0.339 0.661
Au 0.339 0.661 0.000
Au 0.000 0.000 0.339
Au 0.385 0.385 0.844
Au 0.000 0.661 0.339
Au 0.339 0.000 0.661

No. 7
The following is a DFT calculation (PBE-GGA) of KPt4Rh after structural relaxation.

Results
The space group is No. 216. The size of the total moment comes out at 0.311 μB/atom. The calculation puts the formation energy at 1.4 eV/f.u.

a b c (Å): 5.372 5.372 5.372
angles (deg): 60.00 60.00 60.00
Positions (direct):
K 0.000 0.000 0.000
Pt 0.375 0.375 0.874
Pt 0.874 0.375 0.375
Pt 0.375 0.375 0.375
Pt 0.375 0.874 0.375
Rh 0.750 0.750 0.750

No. 8
The following is a DFT calculation (PBE-GGA) of LaSm3Ho5 after structural relaxation.

Results
The space group is No. 15. The size of the total moment comes out at 0.000 μB/atom. The calculation puts the formation energy at 2.8 eV/f.u.

a b c (Å): 6.052 10.101 11.280
angles (deg): 111.57 90.00 107.43
Positions (direct):
Ho 0.434 0.339 0.030
Sm 0.045 0.644 0.137
Ho 0.094 0.673 0.802
Ho 0.566 0.661 0.970
Ho 0.095 0.661 0.470
Sm 0.000 0.000 0.000
La 0.868 0.000 0.750
Sm 0.401 0.356 0.363
Ho 0.579 0.673 0.302
La 0.132 0.000 0.250
Sm 0.599 0.644 0.637
Ho 0.906 0.327 0.198
Ho 0.421 0.327 0.698
Ho 0.619 0.000 0.250
Sm 0.955 0.356 0.863
Ho 0.905 0.339 0.530
Ho 0.381 0.000 0.750
Sm 0.000 0.000 0.500

No. 9
The following is a DFT calculation (PBE-GGA) of ThZn5Au7 after structural relaxation.

Results
The space group is No. 44. The size of the total moment comes out at 0.000 μB/atom. The calculation puts the formation energy at -4.3 eV/f.u.

a b c (Å): 5.320 7.142 7.142
angles (deg): 84.20 68.13 68.13
Positions (direct):
Th 0.990 0.010 0.010
Au 0.511 0.177 0.800
Zn 0.502 0.995 0.496
Zn 0.740 0.760 0.760
Au 0.322 0.678 0.678
Au 0.648 0.352 0.352
Zn 0.007 0.995 0.496
Au 0.996 0.666 0.341
Zn 0.007 0.496 0.995
Zn 0.502 0.496 0.995
Au 0.996 0.341 0.666
Au 0.511 0.800 0.177
Au 0.268 0.232 0.232

No. 10
The following is a DFT calculation (PBE-GGA) of CsHf2MnAs after structural relaxation.

Results
The space group is No. 123. The size of the total moment comes out at 0.000 μB/atom. The calculation puts the formation energy at 3.1 eV/f.u.

a b c (Å): 5.020 4.677 5.020
angles (deg): 90.00 90.00 90.00
Positions (direct):
As 0.000 0.500 0.000
Hf 0.500 0.000 0.000
Hf 0.000 0.000 0.500
Cs 0.500 0.500 0.500
Mn 0.000 0.000 0.000

No. 11
The following is a DFT calculation (PBE-GGA) of CeZrNp2P4 after structural relaxation.

Results
The space group is No. 10. The size of the total moment comes out at 0.041 μB/atom. The calculation puts the formation energy at -9.2 eV/f.u.

a b c (Å): 3.927 6.838 6.777
angles (deg): 109.36 90.00 90.00
Positions (direct):
Np 0.000 0.500 0.500
Np 0.500 0.000 0.500
Ce 0.000 0.000 0.000
Zr 0.500 0.500 0.000
P 0.000 0.739 0.246
P 0.000 0.261 0.754
P 0.500 0.738 0.749
P 0.500 0.262 0.251

No. 12
The following is a DFT calculation (PBE-GGA) of BeIn2Cu after structural relaxation.

Results
The space group is No. 12. The size of the total moment comes out at 0.000 μB/atom. The calculation puts the formation energy at 1.5 eV/f.u.

a b c (Å): 4.420 4.420 5.640
angles (deg): 78.63 78.63 42.63
Positions (direct):
Be 0.250 0.250 0.250
Cu 0.750 0.750 0.750
In 0.997 0.997 0.007
In 0.503 0.503 0.493

No. 13
The following is a DFT calculation (PBE-GGA) of Ac5Rh after structural relaxation.

Results
The space group is No. 65. The size of the total moment comes out at 0.000 μB/atom. The calculation puts the formation energy at -0.2 eV/f.u.

a b c (Å): 6.452 4.053 9.598
angles (deg): 102.19 90.00 90.00
Positions (direct):
Ac 0.000 0.614 0.228
Ac 0.000 0.386 0.772
Ac 0.500 0.166 0.333
Ac 0.500 0.500 0.000
Ac 0.500 0.834 0.667
Rh 0.000 0.000 0.000

No. 14
The following is a DFT calculation (PBE-GGA) of NaBO after structural relaxation.

Results
The space group is No. 63. The size of the total moment comes out at 0.000 μB/atom. As for the formation energy without anion corrections: -4.00 eV per formula unit.

a b c (Å): 3.122 3.564 6.500
angles (deg): 105.91 90.00 90.00
Positions (direct):
O 0.129 0.511 0.049
B 0.629 0.698 0.422
Na 0.629 0.996 0.019
B 0.129 0.619 0.264
O 0.629 0.805 0.637
Na 0.129 0.320 0.667

No. 15
The following is a DFT calculation (PBE-GGA) of Na2NbTlCl8 after structural relaxation.

Results
The space group is No. 2. The size of the total moment comes out at 0.000 μB/atom. As for the formation energy without anion corrections: -15.94 eV per formula unit.

a b c (Å): 6.758 6.356 9.096
angles (deg): 85.43 83.49 85.61
Positions (direct):
Cl 0.847 0.225 0.816
Cl 0.153 0.775 0.184
Cl 0.726 0.780 0.023
Nb 0.000 0.000 0.000
Na 0.450 0.427 0.702
Cl 0.168 0.793 0.810
Cl 0.274 0.220 0.977
Cl 0.682 0.692 0.538
Cl 0.832 0.207 0.190
Na 0.550 0.573 0.298
Tl 0.000 0.000 0.500
Cl 0.318 0.308 0.462

No. 16
The following is a DFT calculation (PBE-GGA) of K2ZrSi after structural relaxation.

Results
The space group is No. 6. The size of the total moment comes out at 0.214 μB/atom. As for the formation energy without anion corrections: 0.19 eV per formula unit.

a b c (Å): 3.773 3.832 10.731
angles (deg): 80.04 90.00 90.00
Positions (direct):
Si 0.000 0.255 0.617
K 0.000 0.101 0.931
Zr 0.500 0.749 0.630
K 0.500 0.396 0.321

No. 17
The following is a DFT calculation (PBE-GGA) of SrGe2Pb2Au7 after structural relaxation.

Results
The space group is No. 12. The size of the total moment comes out at 0.000 μB/atom. The calculation puts the formation energy at -2.3 eV/f.u.

a b c (Å): 5.025 5.025 11.712
angles (deg): 82.63 82.63 89.58
Positions (direct):
Au 0.175 0.574 0.810
Sr 0.000 0.000 0.000
Ge 0.292 0.292 0.213
Au 0.426 0.825 0.190
Au 0.825 0.426 0.190
Pb 0.860 0.860 0.380
Au 0.585 0.585 0.596
Au 0.415 0.415 0.404
Au 0.500 0.500 0.000
Ge 0.708 0.708 0.787
Pb 0.140 0.140 0.620
Au 0.574 0.175 0.810

No. 18
The following is a DFT calculation (PBE-GGA) of Te2IrNF after structural relaxation.

Results
The space group is No. 123. The size of the total moment comes out at 0.322 μB/atom. As for the formation energy without anion corrections: 6.56 eV per formula unit.

a b c (Å): 4.823 4.823 3.772
angles (deg): 90.00 90.00 90.00
Positions (direct):
Te 0.000 0.500 0.000
N 0.000 0.000 0.500
Ir 0.500 0.500 0.500
F 0.000 0.000 0.000
Te 0.500 0.000 0.000

No. 19
The following is a DFT calculation (PBE-GGA) of MgSN after structural relaxation.

Results
The space group is No. 166. The size of the total moment comes out at 0.000 μB/atom. As for the formation energy without anion corrections: -0.61 eV per formula unit.

a b c (Å): 3.619 3.619 8.153
angles (deg): 77.15 77.15 59.95
Positions (direct):
N 0.160 0.160 0.801
S 0.666 0.666 0.286
N 0.593 0.593 0.506
Mg 0.498 0.498 0.787
Mg 0.255 0.255 0.520
S 0.087 0.087 0.022

No. 20
The following is a DFT calculation (PBE-GGA) of Fe4Pt3Rh3 after structural relaxation.

Results
The space group is No. 38. The size of the total moment comes out at 1.585 μB/atom. The calculation puts the formation energy at 0.6 eV/f.u.

a b c (Å): 2.751 7.260 7.260
angles (deg): 89.32 90.00 90.00
Positions (direct):
Fe 0.000 0.884 0.875
Fe 0.000 0.125 0.116
Pt 0.500 0.673 0.678
Pt 0.500 0.827 0.173
Rh 0.500 0.177 0.823
Rh 0.000 0.495 0.001
Rh 0.000 0.999 0.505
Pt 0.500 0.322 0.327
Fe 0.000 0.376 0.624
Fe 0.000 0.621 0.379

No. 21
The following is a DFT calculation (PBE-GGA) of Ag5AuSe4 after structural relaxation.

Results
The space group is No. 12. The size of the total moment comes out at 0.000 μB/atom. As for the formation energy without anion corrections: -0.11 eV per formula unit.

a b c (Å): 4.062 9.246 6.197
angles (deg): 75.86 90.00 102.69
Positions (direct):
Ag 0.209 0.418 0.417
Ag 0.791 0.582 0.583
Se 0.349 0.699 0.762
Se 0.936 0.872 0.238
Ag 0.194 0.388 0.900
Au 0.500 0.000 0.000
Ag 0.500 0.000 0.500
Se 0.651 0.301 0.238
Se 0.064 0.128 0.762
Ag 0.806 0.612 0.100

No. 22
The following is a DFT calculation (PBE-GGA) of CoIr2Pt after structural relaxation.

Results
The space group is No. 12. The size of the total moment comes out at 0.570 μB/atom. The calculation puts the formation energy at 0.1 eV/f.u.

a b c (Å): 4.691 4.691 4.692
angles (deg): 79.97 79.97 33.66
Positions (direct):
Ir 0.994 0.994 0.009
Pt 0.750 0.750 0.750
Ir 0.506 0.506 0.491
Co 0.250 0.250 0.250